# KWO3 | Alexandria | PBE with a Hubbard U | optimized geometry
# M_tot	0.00	μB per cell
# Fermi-level density of states	2.2	states/eV/cell
# raw total energy	-5.542	eV/atom
data_KWO3
_chemical_formula_sum 'K4 W4 O12'
_cell_length_a 3.766
_cell_length_b 15.417
_cell_length_c 4.942
_cell_angle_alpha 90.00
_cell_angle_beta 90.00
_cell_angle_gamma 90.00
_symmetry_space_group_name_H-M 'C m c m'
_symmetry_Int_Tables_number 63
_symmetry_space_group_name_Hall '-C 2c 2'
loop_
_atom_site_label
_atom_site_fract_x
_atom_site_fract_y
_atom_site_fract_z
_atom_site_occupancy
K1 0.000 0.179 0.250 1
W1 0.000 0.456 0.250 1
O1 0.000 0.000 0.000 1
O2 0.237 0.150 0.750 1

***

# KWO3 | Alexandria | PBE with a Hubbard U | optimized geometry
# M_tot	6.00	μB per cell
# Fermi-level density of states	0.0	states/eV/cell
# raw total energy	-6.654	eV/atom
data_KWO3
_chemical_formula_sum 'K6 W6 O18'
_cell_length_a 5.5602
_cell_length_b 5.5602
_cell_length_c 18.0741
_cell_angle_alpha 90.00
_cell_angle_beta 90.00
_cell_angle_gamma 120.00
_symmetry_space_group_name_H-M 'R -3'
_symmetry_Int_Tables_number 148
_symmetry_space_group_name_Hall '-R 3'
loop_
_atom_site_label
_atom_site_fract_x
_atom_site_fract_y
_atom_site_fract_z
_atom_site_occupancy
K1 0.0000 0.0000 0.1372 1
W1 0.0000 0.0000 0.3362 1
O1 0.0042 0.5843 0.9366 1

***

# KWO3 | Alexandria | PBE with a Hubbard U | optimized geometry
# M_tot	2.00	μB per cell
# Fermi-level density of states	3.7	states/eV/cell
# raw total energy	-5.735	eV/atom
data_KWO3
_chemical_formula_sum 'K2 W2 O6'
_cell_length_a 3.9462
_cell_length_b 3.9462
_cell_length_c 8.4923
_cell_angle_alpha 90.00
_cell_angle_beta 90.00
_cell_angle_gamma 120.00
_symmetry_space_group_name_H-M 'P 63/m m c'
_symmetry_Int_Tables_number 194
_symmetry_space_group_name_Hall '-P 6c 2c'
loop_
_atom_site_label
_atom_site_fract_x
_atom_site_fract_y
_atom_site_fract_z
_atom_site_occupancy
K1 0.3333 0.6667 0.2500 1
W1 0.0000 0.0000 0.0000 1
O1 0.0000 0.0000 0.2500 1
O2 0.3333 0.6667 0.5426 1

***

raw total energy of number 3 (KWO3)? -5.735 eV/atom